The following is a PBE calculation of a relaxed structure of TaFeTe2I, from Alexandria via LeMat-Bulk.

POSCAR file:
```
TaFeTe2I
1.0
-0.636 4.484 2.953
-1.953 -2.964 4.079
5.200 -0.611 2.047
Te Fe Ta I
2 1 1 1
Cartesian
-0.318 2.242 1.477
-0.977 -1.482 2.039
1.306 0.455 4.540
0.000 0.000 0.000
2.600 -0.305 1.023
```

Summary:
calculated density = 6.3 g/cm3
offset from the most stable computed form = 0.0 meV per atom
energy relative to the elements, uncorrected = 827 meV/atom
crystal system = tetragonal